DFT (GGA-PBE) results for SnBiTeIr2 after structural relaxation.

The uncorrected formation energy comes out at 1.4404 eV per atom. The volume comes out at 30.2 Å³/atom. Its total moment is 0.00 μB per cell.

The space group is P4/mmm (No. 123) and the conventional cell measures 5.0095, 5.0095 and 6.0091 Å, with angles of 90.00, 90.00 and 90.00 degrees. The inequivalent atoms are Sn at (0.0000, 0.0000, 0.0000), Bi at (0.5000, 0.5000, 0.5000), Te at (0.5000, 0.5000, 0.0000) and Ir at (0.0000, 0.5000, 0.5000).